DFT (PBE-GGA) results for an optimized crystal structure of KLaRe2.

polymorph energy (0 for the lowest one): 42 meV/atom
volume: 104.9 Å³ per cell
final energy: -28.73 eV per cell

Cell lengths 3.193, 3.193, 10.290 Å; angles 90.00, 90.00, 90.00 degrees
Space group P4mm (No. 99)
Symmetry-distinct sites (fractional):
K (0.000, 0.000, 0.000)
La (0.500, 0.500, 0.390)
Re (0.000, 0.000, 0.610)
Re (0.500, 0.500, 0.730)